Compound: AlTl2BS4
Source: the Alexandria database
Functional: PBE
Structure: optimized geometry

Calculated values
Total magnetic moment   0.00 μB per formula unit
Formation energy without anion corrections   -0.554 eV/atom
Theoretical density   5.3 Mg/m³

Unit cell a=6.6680 b=6.6679 c=6.2314 alpha=122.33 beta=122.34 gamma=90.01
Closest atoms and distances in Å follow each position.
Fractional positions:
Al 0.9859 0.4859 0.9718  4 S 2.29
Tl 0.4857 0.9858 0.9716  4 S 3.08
B 0.7359 0.7359 0.4718  4 S 1.96
S 0.3929 0.7362 0.2245  1 B 1.96
Tl 0.2358 0.2357 0.4715  8 S 3.29-3.50
S 0.7355 0.6403 0.7192  1 B 1.96
S 0.8319 0.4884 0.2249  1 B 1.96
S 0.9834 0.0789 0.7188  1 B 1.96

Compound: AlBSb2
Source: the Alexandria database
Functional: PBE
Structure: optimized geometry

Calculated values
Total magnetic moment   0.00 μB per formula unit
Formation energy without anion corrections   0.203 eV/atom
ΔE to the lowest computed polymorph   0.0 meV/atom
Theoretical density   4.9 Mg/m³

Unit cell a=5.8237 b=5.8237 c=6.9602 alpha=65.27 beta=65.27 gamma=90.00
Closest atoms and distances in Å follow each position.
Fractional positions:
Sb 0.1770 0.6250 0.2500  2 B 2.33
Sb 0.3750 0.4270 0.7500  2 B 2.33
Al 0.7500 0.2500 0.5000  4 Sb 2.68
Sb 0.8750 0.8230 0.7500  2 B 2.33
B 0.5000 0.5000 0.0000  4 Sb 2.33
Sb 0.5730 0.1250 0.2500  2 B 2.33
Al 0.0000 0.0000 0.0000  4 Sb 2.68
B 0.2500 0.7500 0.5000  4 Sb 2.33

Compound: AlBSb3
Source: the Alexandria database
Functional: PBE
Structure: optimized geometry

Calculated values
Total magnetic moment   0.00 μB per formula unit
Formation energy without anion corrections   1.390 eV/atom
ΔE to the lowest computed polymorph   624.1 meV/atom
Theoretical density   4.6 Mg/m³

Unit cell a=5.2449 b=5.2449 c=5.2449 alpha=90.00 beta=90.00 gamma=90.00
Closest atoms and distances in Å follow each position.
Fractional positions:
Sb 0.0000 0.0000 0.5000  2 Al 2.62
Sb 0.5000 0.0000 0.0000  2 Al 2.62
B 0.5000 0.5000 0.5000  12 Sb 3.71
Al 0.0000 0.0000 0.0000  6 Sb 2.62
Sb 0.0000 0.5000 0.0000  2 Al 2.62

Compound: Al3BSb
Source: the Alexandria database
Functional: PBE
Structure: optimized geometry

Calculated values
Total magnetic moment   0.00 μB per formula unit
Formation energy without anion corrections   1.773 eV/atom
ΔE to the lowest computed polymorph   1604.9 meV/atom
Theoretical density   2.4 Mg/m³

Unit cell a=5.3121 b=5.3121 c=5.3121 alpha=90.00 beta=90.00 gamma=90.00
Closest atoms and distances in Å follow each position.
Fractional positions:
Al 0.0000 0.5000 0.0000  2 Sb 2.66
Al 0.5000 0.0000 0.0000  2 Sb 2.66
Sb 0.0000 0.0000 0.0000  6 Al 2.66
B 0.5000 0.5000 0.5000  12 Al 3.76
Al 0.0000 0.0000 0.5000  2 Sb 2.66

Compound: Al3BSb
Source: the Alexandria database
Functional: PBE
Structure: optimized geometry

Calculated values
Total magnetic moment   0.00 μB per formula unit
Formation energy without anion corrections   0.168 eV/atom
ΔE to the lowest computed polymorph   0.0 meV/atom
Theoretical density   4.2 Mg/m³

Unit cell a=4.3842 b=4.3842 c=4.3842 alpha=90.00 beta=90.00 gamma=90.00
Closest atoms and distances in Å follow each position.
Fractional positions:
Sb 0.5000 0.5000 0.5000  12 Al 3.10
Al 0.5000 0.0000 0.0000  2 B 2.19
B 0.0000 0.0000 0.0000  6 Al 2.19
Al 0.0000 0.5000 0.0000  2 B 2.19
Al 0.0000 0.0000 0.5000  2 B 2.19

Compound: AlB2Sb
Source: the Alexandria database
Functional: PBE
Structure: optimized geometry

Calculated values
Total magnetic moment   0.00 μB per formula unit
Formation energy without anion corrections   0.688 eV/atom
ΔE to the lowest computed polymorph   0.0 meV/atom
Theoretical density   4.2 Mg/m³

Unit cell a=5.2578 b=5.2578 c=6.1491 alpha=64.69 beta=64.69 gamma=90.00
Closest atoms and distances in Å follow each position.
Fractional positions:
B 0.3750 0.3851 0.7500  2 Al 2.19, 2 Sb 2.26
Sb 0.0000 0.0000 0.0000  4 B 2.26
Sb 0.7500 0.2500 0.5000  4 B 2.26
B 0.8750 0.8649 0.7500  2 Al 2.19, 2 Sb 2.26
Al 0.5000 0.5000 0.0000  4 B 2.19
B 0.1351 0.6250 0.2500  2 Al 2.19, 2 Sb 2.26
B 0.6149 0.1250 0.2500  2 Al 2.19, 2 Sb 2.26
Al 0.2500 0.7500 0.5000  4 B 2.19

Compound: AlB2Sb
Source: the Alexandria database
Functional: PBE
Structure: optimized geometry

Calculated values
Total magnetic moment   0.00 μB per formula unit
Formation energy without anion corrections   1.324 eV/atom
ΔE to the lowest computed polymorph   636.2 meV/atom
Theoretical density   5.1 Mg/m³

Unit cell a=4.2870 b=4.2870 c=4.2870 alpha=60.00 beta=60.00 gamma=60.00
Closest atoms and distances in Å follow each position.
Fractional positions:
B 0.2500 0.2500 0.2500  4 Sb 2.63, 4 Al 2.63
Al 0.0000 0.0000 0.0000  8 B 2.63
Sb 0.5000 0.5000 0.5000  8 B 2.63
B 0.7500 0.7500 0.7500  4 Sb 2.63, 4 Al 2.63

Compound: AlBSb3
Source: the Alexandria database
Functional: PBE
Structure: optimized geometry

Calculated values
Total magnetic moment   0.00 μB per formula unit
Formation energy without anion corrections   0.766 eV/atom
ΔE to the lowest computed polymorph   0.0 meV/atom
Theoretical density   5.8 Mg/m³

Unit cell a=4.8573 b=4.8573 c=4.8573 alpha=90.00 beta=90.00 gamma=90.00
Closest atoms and distances in Å follow each position.
Fractional positions:
B 0.0000 0.0000 0.0000  6 Sb 2.43
Al 0.5000 0.5000 0.5000  12 Sb 3.43
Sb 0.5000 0.0000 0.0000  2 B 2.43
Sb 0.0000 0.5000 0.0000  2 B 2.43
Sb 0.0000 0.0000 0.5000  2 B 2.43